Entry 1:
First-principles (GGA-PBE) data for an optimized crystal structure of NiGeH3, as listed in Alexandria.

Computed properties:
DFT total energy: -3.797 eV per atom
Excess energy over the best structure of this formula in the dataset: 0.00 eV/f.u.

Lattice parameters (Å, degrees): 3.4364 3.4364 3.4364 90.00 90.00 90.00
Space group Pm-3m (No. 221)
One atom of each set of equivalent atoms:
Ni 0.0000 0.0000 0.0000
Ge 0.5000 0.5000 0.5000
H 0.0000 0.0000 0.5000



Entry 2:
First-principles (GGA-PBE) data for an optimized crystal structure of MnH4Pd4, as listed in Alexandria.

Computed properties:
DFT total energy: -4.947 eV per atom

Lattice parameters (Å, degrees): 9.3705 3.9408 6.6233 90.00 134.93 90.00
Space group C2/m (No. 12)
One atom of each set of equivalent atoms:
Mn 0.0000 0.0000 0.0000
H 0.1353 0.0000 0.8185
H 0.1828 0.5000 0.5481
Pd 0.1017 0.5000 0.8079
Pd 0.2060 0.0000 0.6043



Entry 3:
First-principles (GGA-PBE) data for an optimized crystal structure of Sb2MoCl, as listed in Alexandria.

Computed properties:
Formation energy from raw total energies: 0.546 eV per atom
DFT total energy: -4.685 eV per atom
Excess energy over the best structure of this formula in the dataset: 2.23 eV/f.u.

Lattice parameters (Å, degrees): 7.0544 7.0544 7.0544 90.00 90.00 90.00
Space group Fm-3m (No. 225)
One atom of each set of equivalent atoms:
Sb 0.2500 0.2500 0.2500
Mo 0.0000 0.0000 0.0000
Cl 0.0000 0.0000 0.5000



Number 1: M_tot 0.000 μB per cell. Number 2: M_tot 8.791 μB per cell. Number 3: M_tot 10.463 μB per cell.